Er12TmSc7 | Alexandria | PBE-GGA | relaxed; symmetry = R-3; energy above the most stable polymorph in this dataset = 0 kJ/mol of formula units; crystal system = trigonal
1.0
7.282 4.204 3.155
-7.282 4.204 3.155
0.000 -8.408 3.155
Er Tm Sc
12 1 7
Cartesian
-0.806 -2.367 2.302
-5.174 1.415 3.918
-3.813 -3.773 5.546
-1.647 1.882 2.302
1.361 -5.188 3.918
2.453 0.485 2.302
-2.453 -0.485 7.162
-1.361 5.188 5.546
1.647 -1.882 7.162
3.813 3.773 3.918
5.174 -1.415 5.546
0.806 2.367 7.162
0.000 0.000 4.732
0.000 0.000 0.000
-3.067 -0.928 4.093
-0.729 -3.120 5.371
-2.337 2.192 5.371
2.337 -2.192 4.093
0.729 3.120 4.093
3.067 0.928 5.371

---

Er2Tm15Sc2 | Alexandria | PBE-GGA | relaxed; symmetry = R-3m; crystal system = trigonal
1.0
5.456 3.150 5.758
-5.456 3.150 5.758
0.000 -6.300 5.758
Er Tm Sc
2 15 2
Cartesian
0.000 0.000 3.099
0.000 0.000 14.176
-2.728 -1.575 5.758
0.000 -3.210 5.253
-2.780 1.605 5.253
-1.620 -2.805 8.637
-3.239 0.000 8.637
-2.780 -1.605 12.021
-2.728 1.575 11.516
1.620 -2.805 8.637
0.000 3.150 5.758
-1.620 2.805 8.637
2.780 1.605 5.253
3.239 0.000 8.637
1.620 2.805 8.637
2.780 -1.605 12.021
0.000 3.210 12.021
0.000 0.000 7.056
0.000 0.000 10.218

---

ErTm4Sc | Alexandria | PBE-GGA | relaxed; symmetry = C2/c; energy above the most stable polymorph in this dataset = 82 kJ/mol of formula units; crystal system = monoclinic
1.0
4.325 -7.139 0.000
4.325 7.139 0.000
-2.143 0.000 5.816
Er Tm Sc
2 8 2
Cartesian
2.717 5.887 4.362
3.789 -5.887 1.454
-0.082 1.779 5.096
2.504 2.760 2.687
0.989 -1.779 2.188
5.074 2.760 0.221
1.432 -2.760 5.595
5.517 1.779 3.628
4.002 -2.760 3.129
6.588 -1.779 0.720
3.789 0.002 1.454
2.717 -0.002 4.362

---

Er4Tm15Sc | Alexandria | PBE-GGA | relaxed; symmetry = P4/mmm; crystal system = tetragonal
1.0
4.920 0.000 0.000
0.000 4.920 0.000
0.000 0.000 24.605
Er Tm Sc
4 15 1
Cartesian
0.000 0.000 2.475
0.000 0.000 7.417
0.000 0.000 17.188
0.000 0.000 22.130
0.000 2.460 0.000
0.000 2.460 4.951
0.000 2.460 9.905
0.000 2.460 14.700
0.000 2.460 19.654
2.460 0.000 0.000
2.460 0.000 4.951
2.460 0.000 9.905
2.460 0.000 14.700
2.460 0.000 19.654
2.460 2.460 2.474
2.460 2.460 7.428
2.460 2.460 12.302
2.460 2.460 17.177
2.460 2.460 22.131
0.000 0.000 12.302

---

Er3Tm7Sc2 | Alexandria | PBE-GGA | relaxed; symmetry = Cmmm; energy above the most stable polymorph in this dataset = 0 kJ/mol of formula units; crystal system = orthorhombic
1.0
2.769 -18.298 0.000
2.769 18.298 0.000
0.000 0.000 3.504
Er Tm Sc
3 7 2
Cartesian
0.000 0.000 0.000
2.769 11.555 0.000
2.769 -11.555 0.000
2.769 14.835 1.752
2.769 8.416 1.752
2.769 2.684 0.000
2.769 0.000 1.752
2.769 -2.684 0.000
2.769 -8.416 1.752
2.769 -14.835 1.752
2.769 5.401 1.752
2.769 -5.401 1.752

---

Er8Tm3Sc2 | Alexandria | PBE-GGA | relaxed; symmetry = Cmmm; energy above the most stable polymorph in this dataset = 8 kJ/mol of formula units; crystal system = orthorhombic
1.0
3.770 -9.674 0.000
3.770 9.674 0.000
0.000 0.000 5.499
Er Tm Sc
8 3 2
Cartesian
3.770 7.064 0.000
2.180 2.162 2.749
3.770 3.374 0.000
2.180 -2.162 2.749
5.360 2.162 2.749
3.770 -3.374 0.000
5.360 -2.162 2.749
3.770 -7.064 0.000
0.000 0.000 2.749
2.143 0.000 0.000
5.396 0.000 0.000
3.770 5.007 2.749
3.770 -5.007 2.749

---

Er7TmSc2 | Alexandria | PBE-GGA | relaxed; symmetry = C2/m; energy above the most stable polymorph in this dataset = 0 kJ/mol of formula units; crystal system = monoclinic
1.0
8.825 -2.636 0.000
8.825 2.636 0.000
-2.668 0.000 6.329
Er Tm Sc
7 1 2
Cartesian
0.000 0.000 0.000
1.690 0.000 4.444
6.478 0.000 0.865
5.140 0.000 4.038
9.841 0.000 2.290
8.504 0.000 5.464
13.291 0.000 1.885
-1.334 0.000 3.164
2.984 0.000 1.264
11.998 0.000 5.065

---

Er4TmSc4 | Alexandria | PBE-GGA | relaxed; symmetry = P4_2/nmc; energy above the most stable polymorph in this dataset = 208 kJ/mol of formula units; crystal system = tetragonal
1.0
6.687 0.000 0.000
0.000 6.687 0.000
0.000 0.000 11.742
Er Tm Sc
8 2 8
Cartesian
0.052 1.672 0.264
1.672 0.052 6.135
1.672 3.292 6.135
3.292 1.672 0.264
3.395 5.015 11.478
5.015 3.395 5.607
5.015 6.635 5.607
6.635 5.015 11.478
1.672 5.015 2.935
5.015 1.672 8.806
0.222 1.672 3.588
1.672 0.222 9.459
1.672 3.122 9.459
3.122 1.672 3.588
3.565 5.015 8.154
5.015 3.565 2.283
5.015 6.465 2.283
6.465 5.015 8.154

---

| no. | energy relative to the elements (eV per atom) | total magnetization (μB per atom) |
| --- | --- | --- |
| 1 | 0.17 | 0.2776 |
| 2 | 0.30 | 0.0156 |
| 3 | 0.14 | 0.0000 |
| 4 | 0.03 | 0.0000 |
| 5 | 0.12 | 0.0001 |
| 6 | 0.24 | 0.0000 |
| 7 | 0.05 | 0.0000 |
| 8 | 0.29 | 0.0000 |